{"formula": "LiGe3Ir3", "functional": "GGA-PBE", "state": "optimized geometry", "e_form_ev_per_atom": 0.085, "total_magnetization_mub_per_fu": 0.00, "dos_at_fermi_per_ev_cell": 5.8, "spacegroup": "Pm-3n", "lattice_angstrom": [[6.787, 0.000, 0.000], [0.000, 6.787, 0.000], [0.000, 0.000, 6.787]], "species": ["Ge", "Ge", "Ge", "Ge", "Ge", "Ge", "Ir", "Ir", "Ir", "Ir", "Ir", "Ir", "Li", "Li"], "frac_coords": [[0.500, 0.000, 0.250], [0.000, 0.250, 0.500], [0.250, 0.500, 0.000], [0.750, 0.500, 0.000], [0.500, 0.000, 0.750], [0.000, 0.750, 0.500], [0.250, 0.000, 0.500], [0.000, 0.500, 0.250], [0.500, 0.750, 0.000], [0.000, 0.500, 0.750], [0.500, 0.250, 0.000], [0.750, 0.000, 0.500], [0.500, 0.500, 0.500], [0.000, 0.000, 0.000]]}

***

{"formula": "PmGa3Au3", "functional": "GGA-PBE", "state": "optimized geometry", "e_form_ev_per_atom": -0.386, "total_magnetization_mub_per_fu": 0.00, "dos_at_fermi_per_ev_cell": 4.6, "spacegroup": "R-3", "lattice_angstrom": [[8.202, 0.000, 0.000], [4.101, 7.103, 0.000], [4.101, 2.368, 5.400]], "species": ["Au", "Au", "Au", "Au", "Au", "Au", "Ga", "Ga", "Ga", "Ga", "Ga", "Ga", "Pm", "Pm"], "frac_coords": [[0.246, 0.565, 0.286], [0.565, 0.904, 0.286], [0.096, 0.754, 0.714], [0.754, 0.435, 0.714], [0.435, 0.096, 0.714], [0.904, 0.246, 0.286], [0.921, 0.619, 0.240], [0.221, 0.921, 0.240], [0.381, 0.779, 0.760], [0.619, 0.221, 0.240], [0.079, 0.381, 0.760], [0.779, 0.079, 0.760], [0.335, 0.335, 0.994], [0.665, 0.665, 0.006]]}

***

{"formula": "LiAcBiRh", "functional": "GGA-PBE", "state": "optimized geometry", "e_form_ev_per_atom": -0.544, "total_magnetization_mub_per_fu": 0.00, "dos_at_fermi_per_ev_cell": 1.2, "spacegroup": "F-43m", "lattice_angstrom": [[-4.432, 2.445, -0.087], [-3.192, -0.407, 3.908], [-0.769, 3.956, 3.063]], "species": ["Rh", "Bi", "Li", "Ac"], "frac_coords": [[0.500, 0.500, 0.500], [0.250, 0.250, 0.250], [0.000, 0.000, 0.000], [0.750, 0.750, 0.750]]}

***

{"formula": "LaNiSe2", "functional": "GGA-PBE", "state": "optimized geometry", "e_form_raw_mev_per_atom": -1008, "total_magnetization_mub_per_fu": 1.00, "dos_at_fermi_per_ev_cell": 3.7, "spacegroup": "C2/m", "lattice_angstrom": [[-1.198, 3.817, -1.291], [-4.154, 0.625, -0.154], [-1.390, 3.092, 5.072]], "species": ["Se", "Se", "Ni", "La"], "frac_coords": [[0.990, 0.990, 0.961], [0.510, 0.510, 0.539], [0.750, 0.750, 0.750], [0.250, 0.250, 0.250]]}

***

{"formula": "CrSi2Ru", "functional": "GGA-PBE", "state": "optimized geometry", "e_form_raw_mev_per_atom": 28, "total_magnetization_mub_per_fu": 0.30, "dos_at_fermi_per_ev_cell": 3.6, "spacegroup": "P4mm", "lattice_angstrom": [[2.709, 0.008, 0.000], [-0.009, 2.709, 0.000], [0.000, 0.000, 7.343]], "species": ["Si", "Si", "Ru", "Cr"], "frac_coords": [[0.500, 0.500, 0.282], [0.000, 0.000, 0.971], [0.500, 0.500, 0.736], [0.000, 0.000, 0.511]]}

***

{"formula": "PSe", "functional": "GGA-PBE", "state": "optimized geometry", "e_form_raw_mev_per_atom": 573, "total_magnetization_mub_per_fu": 0.00, "dos_at_fermi_per_ev_cell": 5.6, "spacegroup": "P6_3/mmc", "lattice_angstrom": [[2.036, -3.526, 0.000], [2.036, 3.526, 0.000], [0.000, 0.000, 10.736]], "species": ["Se", "Se", "Se", "Se", "P", "P", "P", "P"], "frac_coords": [[0.333, 0.667, 0.082], [0.667, 0.333, 0.918], [0.333, 0.667, 0.418], [0.667, 0.333, 0.582], [0.000, 0.000, 0.250], [0.000, 0.000, 0.750], [0.333, 0.667, 0.750], [0.667, 0.333, 0.250]]}

***

Repeat the first record exactly.
{"formula": "LiGe3Ir3", "functional": "GGA-PBE", "state": "optimized geometry", "e_form_ev_per_atom": 0.085, "total_magnetization_mub_per_fu": 0.00, "dos_at_fermi_per_ev_cell": 5.8, "spacegroup": "Pm-3n", "lattice_angstrom": [[6.787, 0.000, 0.000], [0.000, 6.787, 0.000], [0.000, 0.000, 6.787]], "species": ["Ge", "Ge", "Ge", "Ge", "Ge", "Ge", "Ir", "Ir", "Ir", "Ir", "Ir", "Ir", "Li", "Li"], "frac_coords": [[0.500, 0.000, 0.250], [0.000, 0.250, 0.500], [0.250, 0.500, 0.000], [0.750, 0.500, 0.000], [0.500, 0.000, 0.750], [0.000, 0.750, 0.500], [0.250, 0.000, 0.500], [0.000, 0.500, 0.250], [0.500, 0.750, 0.000], [0.000, 0.500, 0.750], [0.500, 0.250, 0.000], [0.750, 0.000, 0.500], [0.500, 0.500, 0.500], [0.000, 0.000, 0.000]]}